First-principles (PBE) data for a geometry-optimized Mo3OsI structure, as listed in Alexandria via LeMat-Bulk.

Results
The energy relative to the lowest polymorph listed for this composition is 0 meV per atom. As for the uncorrected formation energy: 1.748 eV per atom. As for the magnetization: 0.10 μB/f.u.

a b c (Å): 4.827 4.827 4.827
angles (deg): 90.00 90.00 90.00
Element x y z (fractional)
I: 0.500 0.500 0.500
Mo: 0.000 0.500 0.000
Os: 0.000 0.000 0.000
Mo: 0.500 0.000 0.000
Mo: 0.000 0.000 0.500